Pm3PuIn12: optimized geometry, GGA-PBE.

calculated formation energy: -0.404 eV per atom
symmetry: P4/mmm

The structure in POSCAR format:
```
Pm3PuIn12
1.0
-4.034 -1.487 1.848
2.009 -4.081 1.100
5.065 6.986 16.678
Pm Pu In
3 1 12
direct
0.000 0.000 0.250
0.000 0.000 0.500
0.000 0.000 0.750
0.000 0.000 0.000
0.500 0.500 0.000
0.500 0.500 0.249
0.500 0.500 0.500
0.500 0.500 0.751
0.500 0.000 0.123
0.500 0.000 0.374
0.500 0.000 0.626
0.500 0.000 0.877
0.000 0.500 0.123
0.000 0.500 0.374
0.000 0.500 0.626
0.000 0.500 0.877
```

Rb4NaCu3Br12: optimized geometry, GGA-PBE.

E_form (uncorrected): -0.961 eV per atom
symmetry: Im-3m

The structure in POSCAR format:
```
Rb4NaCu3Br12
1.0
9.223 0.000 0.000
-3.074 8.696 0.000
-3.074 -4.348 7.531
Rb Na Cu Br
4 1 3 12
direct
0.500 0.500 0.500
0.000 0.000 0.500
0.500 0.000 0.000
0.000 0.500 0.000
0.000 0.000 0.000
0.500 0.000 0.500
0.500 0.500 0.000
0.000 0.500 0.500
0.250 0.500 0.750
0.728 0.000 0.728
0.272 0.000 0.272
0.750 0.500 0.250
0.728 0.728 0.000
0.272 0.272 0.000
0.750 0.250 0.500
0.250 0.750 0.500
0.500 0.250 0.750
0.000 0.728 0.728
0.500 0.750 0.250
0.000 0.272 0.272
```

KSc2Fe: optimized geometry, GGA-PBE.

calculated formation energy: 0.769 eV per atom
symmetry: R-3m

The structure in POSCAR format:
```
KSc2Fe
1.0
1.884 0.000 11.213
-0.942 1.632 11.213
-0.942 -1.632 11.213
Sc K Fe
2 1 1
direct
0.934 0.934 0.934
0.066 0.066 0.066
0.500 0.500 0.500
0.000 0.000 0.000
```

| no. | DFT total energy (eV/atom) |
| --- | --- |
| 1 | -4.24 |
| 2 | -2.84 |
| 3 | -4.79 |